[1]
! CuTc2Ir | Alexandria via LeMat-Bulk | PBE-GGA | optimized geometry; values from VASP
&SYSTEM
  ibrav = 0, nat = 4, ntyp = 3
/
ATOMIC_SPECIES
Cu 63.55 Cu.upf
Tc 98.00 Tc.upf
Ir 192.22 Ir.upf
ATOMIC_POSITIONS crystal
Cu 0.0000 0.0000 0.0000
Tc 0.2500 0.7500 0.5000
Tc 0.7500 0.2500 0.5000
Ir 0.5000 0.5000 0.0000
CELL_PARAMETERS angstrom
-1.8484 1.8484 4.0806
1.8484 -1.8484 4.0806
1.8484 1.8484 -4.0806
! Total energy, Ry per atom: -0.612
! Symmetry: I4/mmm, No. 139
! Energy of formation, eV per atom: 0.100
! M_tot, μB/f.u.: 0.0

***

[2]
! MgIn5Ni6 | Alexandria via LeMat-Bulk | PBE-GGA | optimized geometry; values from VASP
&SYSTEM
  ibrav = 0, nat = 12, ntyp = 3
/
ATOMIC_SPECIES
Mg 24.30 Mg.upf
In 114.82 In.upf
Ni 58.69 Ni.upf
ATOMIC_POSITIONS crystal
Mg 0.0000 0.0000 0.0000
In 0.1593 0.1593 0.6580
In 0.3312 0.3312 0.3330
In 0.5000 0.5000 0.0000
In 0.6688 0.6688 0.6670
In 0.8407 0.8407 0.3420
Ni 0.0850 0.5776 0.8343
Ni 0.2585 0.7415 0.5000
Ni 0.4224 0.9150 0.1657
Ni 0.5776 0.0850 0.8343
Ni 0.7415 0.2585 0.5000
Ni 0.9150 0.4224 0.1657
CELL_PARAMETERS angstrom
6.9630 -3.1645 0.0000
6.9630 3.1645 0.0000
-1.3425 0.0000 4.2038
! Total energy, Ry per atom: -0.316
! Symmetry: C2/m, No. 12
! Energy of formation, eV per atom: -0.129
! M_tot, μB/f.u.: 0.0